No. 1
Material: CeSmGa2
Method: DFT, PBE
State: optimized geometry

Geometry as POSCAR:
```
CeSmGa2
1.0
-0.4966 -4.3442 -0.5715
4.0435 -0.5548 0.7033
-0.7786 1.5722 5.7162
Ga Sm Ce
2 1 1
Direct
0.1552 0.5000 0.8495
0.0111 0.0000 0.5611
0.7240 0.0000 0.9872
0.4407 0.5000 0.4202
```

=====

No. 2
Material: CeSm2Ga
Method: DFT, PBE
State: optimized geometry

Calculated values
* excess energy over the best structure of this formula in the dataset: 171.6 meV per atom

Geometry as POSCAR:
```
CeSm2Ga
1.0
-1.6018 4.9989 -0.9103
-2.0560 2.9024 3.9663
2.7571 4.0893 2.0147
Sm Ga Ce
2 1 1
Direct
0.2500 0.2500 0.2500
0.7500 0.7500 0.7500
0.5000 0.5000 0.5000
0.0000 0.0000 0.0000
```

=====

No. 3
Material: Ce3SmGa4
Method: DFT, PBE
State: optimized geometry

Geometry as POSCAR:
```
Ce3SmGa4
1.0
-2.4630 -1.7535 1.9071
3.7671 -2.3095 2.7417
-0.2260 7.8120 6.8909
Ce Ga Sm
3 4 1
Direct
0.5000 0.0000 0.2523
0.5000 0.5000 0.5000
0.5000 0.0000 0.7477
0.0000 0.5000 0.2474
0.0000 0.0000 0.0000
0.0000 0.0000 0.5000
0.0000 0.5000 0.7526
0.5000 0.5000 0.0000
```

=====

no.,energy relative to the elements (meV/atom)
1,-531
2,-48
3,-474